Entry 1:
Below is a geometry-optimized Dy2Ho2Al3 structure, with properties calculated at the PBE-GGA level.

```
data_Dy2Ho2Al3
_chemical_formula_sum 'Dy4 Ho4 Al6'
_space_group_name_H-M_alt 'C 1 2/m 1'
_space_group_IT_number 12
_cell_length_a 11.789
_cell_length_b 3.597
_cell_length_c 8.200
_cell_angle_alpha 90.00
_cell_angle_beta 96.65
_cell_angle_gamma 90.00
loop_
_space_group_symop_operation_xyz
'x,y,z'
'-x,-y,-z'
'-x,y,-z'
'x,-y,z'
'x+1/2,y+1/2,z'
'-x+1/2,-y+1/2,-z'
'-x+1/2,y+1/2,-z'
'x+1/2,-y+1/2,z'
loop_
_atom_site_label
_atom_site_fract_x
_atom_site_fract_y
_atom_site_fract_z
Dy1 0.199 0.000 0.160
Ho1 0.061 0.000 0.703
Al1 0.000 0.500 0.000
Al2 0.164 0.500 0.457
```

Distance to the lowest polymorph of the same formula = 0.000 eV per atom
ΔH_f (0 K) = -0.28 eV/atom
DOS(E_F) = 12.4 states/eV per cell
Total DFT energy (no corrections) = -63.15 eV for the cell shown

---

Entry 2:
Below is a geometry-optimized LiDyPu2Se4 structure, with properties calculated at the PBE-GGA level.

```
data_LiDyPu2Se4
_chemical_formula_sum 'Li1 Dy1 Pu2 Se4'
_space_group_name_H-M_alt 'P 1 2/m 1'
_space_group_IT_number 10
_cell_length_a 7.075
_cell_length_b 4.111
_cell_length_c 7.143
_cell_angle_alpha 90.00
_cell_angle_beta 109.89
_cell_angle_gamma 90.00
loop_
_space_group_symop_operation_xyz
'x,y,z'
'-x,-y,-z'
'-x,y,-z'
'x,-y,z'
loop_
_atom_site_label
_atom_site_fract_x
_atom_site_fract_y
_atom_site_fract_z
Li1 0.000 0.000 0.000
Dy1 0.000 0.500 0.500
Pu1 0.500 0.000 0.500
Pu2 0.500 0.500 0.000
Se1 0.239 0.500 0.246
Se2 0.241 0.000 0.752
```

ΔE_f (raw) = -1542 meV/atom
DOS(E_F) = 25.0 states/eV per cell
Total DFT energy (no corrections) = -61.45 eV for the cell shown

---

Entry 3:
Below is a geometry-optimized La3Mg2Pt3 structure, with properties calculated at the PBE-GGA level.

```
data_La3Mg2Pt3
_chemical_formula_sum 'La6 Mg4 Pt6'
_space_group_name_H-M_alt 'P 63/m c m'
_space_group_IT_number 193
_space_group_name_Hall '-P 6c 2'
_cell_length_a 8.6255
_cell_length_b 8.6255
_cell_length_c 6.0330
_cell_angle_alpha 90.00
_cell_angle_beta 90.00
_cell_angle_gamma 120.00
loop_
_atom_site_label
_atom_site_fract_x
_atom_site_fract_y
_atom_site_fract_z
La1 0.0000 0.2735 0.2500
Mg1 0.3333 0.6667 0.0000
Pt1 0.0000 0.3921 0.7500
```

ΔH_f (0 K) = -0.94 eV/atom
DOS(E_F) = 9.6 states/eV per cell
Total DFT energy (no corrections) = -87.22 eV for the cell shown